The following is a DFT calculation (GGA-PBE) of an optimized crystal structure of SnPt3Br.

Uncorrected formation energy   4.9 eV per formula unit

a = 5.020 Å, b = 5.020 Å, c = 5.020 Å
α = 90.00°, β = 90.00°, γ = 90.00°
Element x y z (fractional)
Sn 0.000 0.000 0.000
Pt 0.000 0.000 0.500
Pt 0.000 0.500 0.000
Pt 0.500 0.000 0.000
Br 0.500 0.500 0.500